[1]
A plane-wave DFT calculation with PBE was carried out for Sc2NiSe after structural relaxation.

a b c (Å): 3.690 3.828 5.377
angles (deg): 90.00 110.02 90.00
Atoms (fractional coordinates):
Sc (0.000, 0.000, 0.000)
Sc (0.294, 0.500, 0.587)
Ni (0.740, 0.000, 0.476)
Se (0.572, 0.500, 0.145)

Computed properties:
Space group = No. 6
ΔE_f (raw) = -923 meV per atom

---

[2]
A plane-wave DFT calculation with PBE was carried out for ScNi2Se after structural relaxation.

a b c (Å): 3.817 3.817 3.974
angles (deg): 90.00 90.00 90.00
Atoms (fractional coordinates):
Sc (0.000, 0.000, 0.000)
Ni (0.000, 0.500, 0.500)
Ni (0.500, 0.000, 0.500)
Se (0.500, 0.500, 0.000)

Computed properties:
Space group = No. 123
ΔE_f (raw) = -452 meV per atom

---

[3]
A plane-wave DFT calculation with PBE was carried out for ScNiSe3 after structural relaxation.

a b c (Å): 5.115 5.115 5.115
angles (deg): 90.00 90.00 90.00
Atoms (fractional coordinates):
Sc (0.000, 0.000, 0.000)
Ni (0.500, 0.500, 0.500)
Se (0.000, 0.000, 0.500)
Se (0.000, 0.500, 0.000)
Se (0.500, 0.000, 0.000)

Computed properties:
Space group = No. 221
Offset from the most stable computed form = 220.2 kJ/mol of formula units
ΔE_f (raw) = 132 meV per atom

---

[4]
A plane-wave DFT calculation with PBE was carried out for ScNiSe2 after structural relaxation.

a b c (Å): 3.663 3.663 5.523
angles (deg): 90.00 90.00 90.00
Atoms (fractional coordinates):
Sc (0.000, 0.000, 0.000)
Ni (0.500, 0.500, 0.653)
Se (0.000, 0.000, 0.546)
Se (0.500, 0.500, 0.106)

Computed properties:
Space group = No. 99
ΔE_f (raw) = -932 meV per atom

---

[5]
A plane-wave DFT calculation with PBE was carried out for Sc2NiSe after structural relaxation.

a b c (Å): 3.684 20.641 3.954
angles (deg): 90.00 90.00 90.00
Atoms (fractional coordinates):
Sc (0.000, 0.060, 0.250)
Sc (0.000, 0.333, 0.250)
Sc (0.000, 0.667, 0.750)
Sc (0.000, 0.940, 0.750)
Sc (0.500, 0.167, 0.750)
Sc (0.500, 0.440, 0.750)
Sc (0.500, 0.560, 0.250)
Sc (0.500, 0.833, 0.250)
Ni (0.000, 0.463, 0.250)
Ni (0.000, 0.537, 0.750)
Ni (0.500, 0.037, 0.750)
Ni (0.500, 0.963, 0.250)
Se (0.000, 0.193, 0.250)
Se (0.000, 0.807, 0.750)
Se (0.500, 0.307, 0.750)
Se (0.500, 0.693, 0.250)

Computed properties:
Space group = No. 63
ΔE_f (raw) = -1032 meV per atom

---

[6]
A plane-wave DFT calculation with PBE was carried out for ScNiSe2 after structural relaxation.

a b c (Å): 3.301 3.301 6.423
angles (deg): 90.00 90.00 90.00
Atoms (fractional coordinates):
Sc (0.000, 0.000, 0.000)
Ni (0.000, 0.000, 0.500)
Se (0.500, 0.500, 0.253)
Se (0.500, 0.500, 0.747)

Computed properties:
Space group = No. 123
ΔE_f (raw) = -518 meV per atom

---

[7]
A plane-wave DFT calculation with PBE was carried out for ScNi2Se after structural relaxation.

a b c (Å): 3.392 3.392 5.245
angles (deg): 90.00 90.00 90.00
Atoms (fractional coordinates):
Sc (0.000, 0.000, 0.000)
Ni (0.500, 0.500, 0.253)
Ni (0.500, 0.500, 0.747)
Se (0.000, 0.000, 0.500)

Computed properties:
Space group = No. 123
ΔE_f (raw) = -422 meV per atom

---

[8]
A plane-wave DFT calculation with PBE was carried out for ScNiSe2 after structural relaxation.

a b c (Å): 3.460 3.475 13.552
angles (deg): 90.00 90.00 90.00
Atoms (fractional coordinates):
Sc (0.000, 0.000, 0.000)
Sc (0.500, 0.500, 0.500)
Ni (0.000, 0.500, 0.820)
Ni (0.500, 0.000, 0.320)
Se (0.000, 0.000, 0.585)
Se (0.000, 0.500, 0.341)
Se (0.500, 0.000, 0.841)
Se (0.500, 0.500, 0.085)

Computed properties:
Space group = No. 44
ΔE_f (raw) = -898 meV per atom

---

[9]
A plane-wave DFT calculation with PBE was carried out for ScNiSe2 after structural relaxation.

a b c (Å): 6.657 3.851 6.280
angles (deg): 90.00 110.51 90.00
Atoms (fractional coordinates):
Sc (0.000, 0.000, 0.000)
Sc (0.500, 0.500, 0.000)
Ni (0.000, 0.500, 0.500)
Ni (0.500, 0.000, 0.500)
Se (0.245, 0.000, 0.732)
Se (0.255, 0.500, 0.268)
Se (0.745, 0.500, 0.732)
Se (0.755, 0.000, 0.268)

Computed properties:
Space group = No. 12
ΔE_f (raw) = -863 meV per atom

---

[10]
A plane-wave DFT calculation with PBE was carried out for ScNiSe after structural relaxation.

a b c (Å): 3.956 3.956 3.618
angles (deg): 90.00 90.00 120.00
Atoms (fractional coordinates):
Sc (0.000, 0.000, 0.000)
Ni (0.333, 0.667, 0.502)
Se (0.667, 0.333, 0.499)

Computed properties:
Space group = No. 156
Offset from the most stable computed form = 0.0 kJ/mol of formula units
ΔE_f (raw) = -918 meV per atom

---

[11]
A plane-wave DFT calculation with PBE was carried out for ScNiSe2 after structural relaxation.

a b c (Å): 5.674 5.674 11.794
angles (deg): 90.00 90.00 90.00
Atoms (fractional coordinates):
Sc (0.000, 0.000, 0.000)
Sc (0.000, 0.500, 0.250)
Sc (0.500, 0.000, 0.750)
Sc (0.500, 0.500, 0.500)
Ni (0.000, 0.000, 0.500)
Ni (0.000, 0.500, 0.750)
Ni (0.500, 0.000, 0.250)
Ni (0.500, 0.500, 0.000)
Se (0.218, 0.250, 0.625)
Se (0.250, 0.718, 0.875)
Se (0.250, 0.782, 0.375)
Se (0.282, 0.250, 0.125)
Se (0.718, 0.750, 0.125)
Se (0.750, 0.218, 0.375)
Se (0.750, 0.282, 0.875)
Se (0.782, 0.750, 0.625)

Computed properties:
Space group = No. 122
ΔE_f (raw) = -841 meV per atom

---

[12]
A plane-wave DFT calculation with PBE was carried out for ScNiSe2 after structural relaxation.

a b c (Å): 3.696 4.204 5.073
angles (deg): 90.00 106.76 90.00
Atoms (fractional coordinates):
Sc (0.000, 0.000, 0.000)
Ni (0.575, 0.500, 0.632)
Se (0.312, 0.000, 0.579)
Se (0.590, 0.500, 0.137)

Computed properties:
Space group = No. 6
ΔE_f (raw) = -912 meV per atom